Density functional theory data (PBE) for a geometry-optimized CsPBr3 structure.

```
CsPBr3
1.0
7.157 0.000 0.000
0.002 7.351 0.000
1.007 3.592 8.378
Cs P Br
2 2 6
direct
0.239 0.221 0.059
0.761 0.779 0.941
0.157 0.514 0.473
0.843 0.486 0.527
0.202 0.194 0.633
0.203 0.663 0.642
0.258 0.761 0.978
0.742 0.239 0.022
0.797 0.337 0.358
0.798 0.806 0.367
```

Properties
formation energy without anion corrections = -0.86 eV per atom
raw total energy = -0.1147 Ha/atom
energy relative to the lowest polymorph listed for this composition = 0 meV per atom
total magnetic moment = 0.0 μB/f.u.
SG = P-1